Material: ZrBiOF2
Method: DFT, PBE
State: relaxed

Summary:
Density   7.0 g/cm³
DOS(E_F)   0.541 states/eV/atom
E_form (uncorrected)   -46.794 kcal/mol of atoms

a b c (Å): 4.518 4.518 4.097
angles (deg): 90.00 90.00 90.00
Each line ends with the local moment (μB).
Fractional positions:
F 0.000 0.500 0.000  0.04
F 0.500 0.000 0.000  0.04
Bi 0.500 0.500 0.500  0.36
Zr 0.000 0.000 0.000  0.22
O 0.000 0.000 0.500  0.03



Material: ZrBiOF2
Method: DFT, PBE
State: relaxed

Summary:
Density   6.1 g/cm³
DOS(E_F)   2.202 states/eV/atom
E_form (uncorrected)   -19.837 kcal/mol of atoms

a b c (Å): 4.584 4.584 4.595
angles (deg): 90.00 90.00 90.00
Each line ends with the local moment (μB).
Fractional positions:
O 0.000 0.000 0.500  0.01
F 0.000 0.500 0.000  0.05
F 0.500 0.000 0.000  0.05
Zr 0.500 0.500 0.500  1.73
Bi 0.000 0.000 0.000  0.08



Material: BiOs3F
Method: DFT, PBE
State: relaxed

Summary:
Density   10.1 g/cm³
DOS(E_F)   1.515 states/eV/atom
E_form (uncorrected)   69.754 kcal/mol of atoms

a b c (Å): 5.087 5.087 5.087
angles (deg): 90.00 90.00 90.00
Each line ends with the local moment (μB).
Fractional positions:
Os 0.000 0.500 0.000  1.70
Os 0.000 0.000 0.500  1.90
Os 0.500 0.000 0.000  1.57
F 0.500 0.500 0.500  0.24
Bi 0.000 0.000 0.000  -0.10



Material: BiOs3F
Method: DFT, PBE
State: relaxed

Summary:
Density   15.9 g/cm³
DOS(E_F)   1.607 states/eV/atom
E_form (uncorrected)   39.399 kcal/mol of atoms

a b c (Å): 4.373 4.373 4.373
angles (deg): 90.00 90.00 90.00
Fractional positions:
Os 0.000 0.000 0.500
Os 0.000 0.500 0.000
Os 0.500 0.000 0.000
F 0.000 0.000 0.000
Bi 0.500 0.500 0.500



Material: BiOsF2
Method: DFT, PBE
State: relaxed

Summary:
Density   10.7 g/cm³
DOS(E_F)   0.896 states/eV/atom
E_form (uncorrected)   -11.433 kcal/mol of atoms

a b c (Å): 8.768 8.768 8.768
angles (deg): 19.79 19.79 19.79
Each line ends with the local moment (μB).
Fractional positions:
F 0.923 0.923 0.923  0.06
F 0.077 0.077 0.077  0.06
Os 0.000 0.000 0.000  1.04
Bi 0.500 0.500 0.500  -0.05



Material: BiOs2F
Method: DFT, PBE
State: relaxed

Summary:
Density   14.1 g/cm³
DOS(E_F)   0.880 states/eV/atom
E_form (uncorrected)   9.615 kcal/mol of atoms

a b c (Å): 3.587 3.587 11.435
angles (deg): 80.98 80.98 90.00
Fractional positions:
Os 0.875 0.863 0.750
Os 0.613 0.125 0.250
Os 0.137 0.625 0.250
Os 0.375 0.387 0.750
Bi 0.000 0.000 0.000
Bi 0.750 0.250 0.500
F 0.500 0.500 0.000
F 0.250 0.750 0.500



Material: BiOsF2
Method: DFT, PBE
State: relaxed

Summary:
Density   10.6 g/cm³
DOS(E_F)   0.548 states/eV/atom
E_form (uncorrected)   -2.996 kcal/mol of atoms

a b c (Å): 7.213 7.213 5.742
angles (deg): 51.09 51.09 90.00
Fractional positions:
Bi 0.000 0.000 0.000
Bi 0.750 0.250 0.500
Os 0.250 0.750 0.500
Os 0.500 0.500 0.000
F 0.531 0.125 0.250
F 0.375 0.469 0.750
F 0.875 0.781 0.750
F 0.219 0.625 0.250



Material: BiOsF2
Method: DFT, PBE
State: relaxed

Summary:
Density   11.3 g/cm³
DOS(E_F)   0.256 states/eV/atom
E_form (uncorrected)   1.090 kcal/mol of atoms

a b c (Å): 4.490 4.490 4.490
angles (deg): 60.00 60.00 60.00
Each line ends with the local moment (μB).
Fractional positions:
Bi 0.500 0.500 0.500  -0.17
F 0.250 0.250 0.250  0.11
F 0.750 0.750 0.750  0.11
Os 0.000 0.000 0.000  2.69



Quick rundown of total moment, same order as above: 0.9, 2.9, 5.9, 0.0, 1.2, 0.0, 0.0, 3.0 μB per formula unit
Quick rundown of E above lowest polymorph, same order as above: 0, 1169, 1316, 0, 0, 0, 366, 543 meV/atom